Entry 1
Density functional theory data (PBE) for a geometry-optimized Cd3Hg4Pb structure.

Cell and atoms, written as POSCAR:
```
Cd3Hg4Pb
1.0
3.9020 0.0000 0.0000
0.0000 4.8160 0.0000
0.0000 0.0000 11.2997
Hg Cd Pb
4 3 1
Cartesian
0.0000 2.4080 9.6622 Hg
1.9510 0.0000 7.1664 Hg
0.0000 0.0000 1.6151 Hg
1.9510 2.4080 4.2284 Hg
0.0000 0.0000 4.5860 Cd
0.0000 2.4080 6.7190 Cd
1.9510 0.0000 10.1339 Cd
1.9510 2.4080 1.0878 Pb
```

Output
Fermi-level density of states	0.373	states/eV per atom
crystal system	orthorhombic



Entry 2
Density functional theory data (PBE) for a geometry-optimized Cd3Hg4Pb structure.

Cell and atoms, written as POSCAR:
```
Cd3Hg4Pb
1.0
3.2360 0.0000 0.0000
0.0000 10.6868 0.0000
0.0000 0.0000 11.9654
Cd Hg Pb
6 8 2
Cartesian
1.6858 5.3434 8.9740 Cd
1.5501 5.3434 2.9913 Cd
1.5254 0.0000 2.9913 Cd
0.0000 0.0000 0.0000 Cd
0.0000 0.0000 5.9827 Cd
1.7106 0.0000 8.9740 Cd
0.0914 2.7002 8.9740 Hg
3.1446 7.9867 2.9913 Hg
0.0914 7.9867 8.9740 Hg
1.6180 2.5352 5.9827 Hg
1.6180 8.1516 0.0000 Hg
1.6180 2.5352 0.0000 Hg
3.1446 2.7002 2.9913 Hg
1.6180 8.1516 5.9827 Hg
0.0000 5.3434 5.9827 Pb
0.0000 5.3434 0.0000 Pb
```

Output
Fermi-level density of states	0.324	states/eV per atom
crystal system	orthorhombic



Winner for stability: entry 1



Entry 1
Density functional theory data (PBE) for a geometry-optimized Cd4Hg8Pb structure.

Cell and atoms, written as POSCAR:
```
Cd4Hg8Pb
1.0
3.1800 0.0000 0.6875
1.6010 12.4577 0.2926
-0.1900 -0.5891 8.5767
Hg Cd Pb
8 4 1
Cartesian
1.9941 2.8355 6.1725 Hg
2.3652 8.5180 4.4560 Hg
0.2890 0.1725 6.3614 Hg
3.4980 6.4917 6.9145 Hg
3.0360 2.8497 1.3536 Hg
1.4158 9.1160 1.1492 Hg
4.6394 12.2148 1.6352 Hg
0.8557 4.6144 3.7400 Hg
0.9358 1.4540 3.3698 Cd
1.5053 4.6245 8.4337 Cd
4.0221 11.2284 4.4902 Cd
2.8264 6.5618 2.3229 Cd
3.3918 9.6671 7.4056 Pb
```

Output
Fermi-level density of states	0.241	states/eV per atom
crystal system	monoclinic



Entry 2
Density functional theory data (PBE) for a geometry-optimized Cd4Hg8Pb structure.

Cell and atoms, written as POSCAR:
```
Cd4Hg8Pb
1.0
8.1103 0.0000 0.0000
4.0552 7.0238 0.0000
4.0552 2.3413 6.6221
Hg Cd Pb
8 4 1
Cartesian
8.1103 4.6825 1.2501 Hg
1.5456 0.8924 0.6310 Hg
8.1103 2.7394 3.9980 Hg
4.0552 2.3413 4.7291 Hg
6.5647 0.8924 0.6310 Hg
6.4276 5.6540 3.9980 Hg
4.0552 5.2390 0.6310 Hg
9.7931 5.6540 3.9980 Hg
8.1103 7.4948 2.3167 Cd
10.5458 3.2764 2.3167 Cd
8.1103 4.6825 6.2939 Cd
5.6749 3.2764 2.3167 Cd
12.1655 7.0238 4.9666 Pb
```

Output
Fermi-level density of states	0.422	states/eV per atom
crystal system	cubic



Winner for stability: entry 1



Entry 1
Density functional theory data (PBE) for a geometry-optimized Cd3Hg3Pb structure.

Cell and atoms, written as POSCAR:
```
Cd3Hg3Pb
1.0
7.9183 0.0000 0.0000
0.0000 7.9183 0.0000
0.0000 0.0000 7.9183
Hg Pb Cd
6 2 6
Cartesian
3.9592 5.9388 0.0000 Hg
3.9592 1.9796 0.0000 Hg
0.0000 3.9592 1.9796 Hg
0.0000 3.9592 5.9388 Hg
5.9388 0.0000 3.9592 Hg
1.9796 0.0000 3.9592 Hg
3.9592 3.9592 3.9592 Pb
0.0000 0.0000 0.0000 Pb
0.0000 1.9796 3.9592 Cd
5.9388 3.9592 0.0000 Cd
3.9592 0.0000 1.9796 Cd
3.9592 0.0000 5.9388 Cd
0.0000 5.9388 3.9592 Cd
1.9796 3.9592 0.0000 Cd
```

Output
Fermi-level density of states	0.491	states/eV per atom
crystal system	cubic



Entry 2
Density functional theory data (PBE) for a geometry-optimized Cd3Hg3Pb structure.

Cell and atoms, written as POSCAR:
```
Cd3Hg3Pb
1.0
-5.7703 3.5301 3.2727
-1.1148 -0.6843 7.3998
2.0555 6.9388 4.7669
Hg Cd Pb
6 6 2
Cartesian
-2.7268 5.8037 10.1637 Hg
-1.8265 2.9499 9.3876 Hg
-3.0032 6.8346 6.0517 Hg
-4.9522 5.4920 8.0406 Hg
0.1226 4.2925 7.3988 Hg
-2.1028 3.9808 5.2757 Hg
-4.7746 3.1458 10.0415 Cd
-3.3661 8.3760 8.7036 Cd
-5.1626 4.3998 5.2263 Cd
0.3329 5.3847 10.2130 Cd
-1.4635 1.4085 6.7358 Cd
-0.0551 6.6387 5.3978 Cd
-2.5387 8.8303 11.8807 Pb
-2.2909 0.9542 3.5586 Pb
```

Output
Fermi-level density of states	0.529	states/eV per atom
crystal system	trigonal



Entry 3
Density functional theory data (PBE) for a geometry-optimized Cd3Hg3Pb structure.

Cell and atoms, written as POSCAR:
```
Cd3Hg3Pb
1.0
-9.6216 2.4796 -0.6182
-5.8439 -3.5798 -1.6699
-2.3333 -2.9087 6.4677
Hg Cd Pb
6 6 2
Cartesian
-7.7636 -1.8132 0.1589 Hg
-13.3907 -1.9602 -0.9237 Hg
-15.2906 -2.7134 3.1817 Hg
-4.4081 -2.0487 5.1033 Hg
-2.5082 -1.2956 0.9978 Hg
-10.0352 -2.1957 4.0207 Hg
-9.7923 0.0219 1.8072 Cd
-7.2189 -0.9008 3.3838 Cd
-12.5235 -1.3586 2.4888 Cd
-8.0065 -4.0308 2.3724 Cd
-5.2753 -2.6504 1.6908 Cd
-10.5799 -3.1082 0.7958 Cd
-10.3892 -0.7128 -1.4860 Pb
-7.4096 -3.2962 5.6656 Pb
```

Output
Fermi-level density of states	0.336	states/eV per atom
crystal system	triclinic



Winner for stability: entry 3



Entry 1
Density functional theory data (PBE) for a geometry-optimized Cd3Hg6Pb2 structure.

Cell and atoms, written as POSCAR:
```
Cd3Hg6Pb2
1.0
0.0076 -2.2289 -2.8324
3.1049 -0.8310 -1.6306
3.9880 -21.2338 14.4194
Hg Cd Pb
6 3 2
Cartesian
2.3298 -3.7850 -1.6021 Hg
3.2265 -16.0167 10.3137 Hg
4.7190 -14.0667 4.1989 Hg
3.8740 -8.2770 -0.3573 Hg
4.7708 -20.5087 11.5585 Hg
2.3815 -10.2271 5.7575 Hg
0.0000 0.0000 0.0000 Cd
1.5465 -4.5067 1.2560 Cd
5.5540 -19.7870 8.7004 Cd
3.9754 -15.0591 7.2697 Pb
3.1251 -9.2346 2.6867 Pb
```

Output
Fermi-level density of states	0.402	states/eV per atom
crystal system	trigonal



Entry 2
Density functional theory data (PBE) for a geometry-optimized Cd3Hg6Pb2 structure.

Cell and atoms, written as POSCAR:
```
Cd3Hg6Pb2
1.0
-3.7973 -1.7267 -0.8088
-0.2630 -3.5985 -2.2443
-0.1250 -12.3557 15.8030
Cd Pb Hg
3 2 6
Cartesian
-1.1408 -3.6064 1.8937 Cd
0.0000 0.0000 0.0000 Cd
-3.0445 -14.0745 10.8561 Cd
-2.2706 -7.3080 3.9387 Pb
-1.9147 -10.3729 8.8111 Pb
-3.3913 -11.0871 6.1069 Hg
-0.7940 -6.5938 6.6429 Hg
-0.4405 -9.6383 11.4829 Hg
-3.7448 -8.0426 1.2669 Hg
-2.6003 -4.4683 -0.5757 Hg
-1.5851 -13.2126 13.3255 Hg
```

Output
Fermi-level density of states	0.379	states/eV per atom
crystal system	trigonal



Winner for stability: entry 1



Entry 1
Density functional theory data (PBE) for a geometry-optimized Cd12Hg7Pb structure.

Cell and atoms, written as POSCAR:
```
Cd12Hg7Pb
1.0
-7.0598 3.3944 1.3210
1.2070 -1.9800 7.5980
4.0875 6.7977 0.4370
Cd Hg Pb
12 7 1
Cartesian
-3.8742 4.7092 4.2140 Cd
3.2983 4.3933 2.3983 Cd
-0.1367 2.2794 7.0519 Cd
2.1089 3.5028 5.1420 Cd
-0.7081 8.7199 3.4775 Cd
-4.0063 4.3263 1.0789 Cd
1.1656 6.2478 3.8144 Cd
-2.9309 1.9642 5.5416 Cd
-5.0635 3.8187 6.9577 Cd
-1.0571 -0.5078 5.8785 Cd
2.2411 3.8857 8.2771 Cd
-1.6285 5.9327 2.3041 Cd
-2.5743 5.2131 7.8547 Hg
-2.1118 2.1066 1.7335 Hg
0.0550 0.6987 3.3781 Hg
-0.8826 4.1060 4.6780 Hg
0.8091 2.9990 1.5013 Hg
0.3466 6.1054 7.6225 Hg
-1.8203 7.5133 5.9779 Hg
0.0000 0.0000 0.0000 Pb
```

Output
Fermi-level density of states	0.322	states/eV per atom
crystal system	trigonal



Entry 2
Density functional theory data (PBE) for a geometry-optimized Cd12Hg7Pb structure.

Cell and atoms, written as POSCAR:
```
Cd12Hg7Pb
1.0
-4.6835 6.0153 4.5326
3.4246 -6.1095 5.4415
6.3609 3.8938 -4.8001
Hg Cd Pb
7 12 1
Cartesian
5.7392 1.1133 3.6445 Hg
-0.6373 2.6863 1.5294 Hg
3.9451 5.0548 2.5192 Hg
2.2368 2.7100 5.9256 Hg
2.8652 1.0896 -0.7517 Hg
1.1568 -1.2552 2.6547 Hg
2.5510 1.8998 2.5870 Hg
4.4623 -2.9663 3.2945 Cd
0.6396 6.7658 1.8794 Cd
1.9114 4.1653 0.5495 Cd
0.2236 1.0749 4.4833 Cd
3.1905 -0.3658 4.6244 Cd
3.9605 4.5656 -1.7419 Cd
0.7670 4.2214 3.6455 Cd
4.8783 2.7247 0.6906 Cd
-1.9255 3.2393 5.0362 Cd
7.0274 0.5602 0.1377 Cd
4.3349 -0.4219 1.5284 Cd
1.1414 -0.7661 6.9158 Cd
0.0000 0.0000 0.0000 Pb
```

Output
Fermi-level density of states	0.284	states/eV per atom
crystal system	trigonal



Winner for stability: entry 1



Entry 1
Density functional theory data (PBE) for a geometry-optimized Cd2Hg7Pb3 structure.

Cell and atoms, written as POSCAR:
```
Cd2Hg7Pb3
1.0
3.6827 0.0000 0.0000
0.0000 5.0048 0.0246
0.0000 -2.5238 17.7975
Hg Pb Cd
7 3 2
Cartesian
0.0000 -0.2235 15.1162 Hg
0.0000 2.7044 2.7059 Hg
1.8414 0.1835 3.3862 Hg
1.8414 2.5107 8.1589 Hg
1.8414 -0.0297 9.6632 Hg
1.8414 2.2975 14.4359 Hg
0.0000 0.0000 0.0000 Hg
0.0000 2.3514 11.2485 Pb
1.8414 2.5024 0.0123 Pb
0.0000 0.1295 6.5736 Pb
1.8414 -0.1793 12.6193 Cd
1.8414 2.6603 5.2028 Cd
```

Output
Fermi-level density of states	0.388	states/eV per atom
crystal system	monoclinic



Entry 2
Density functional theory data (PBE) for a geometry-optimized Cd2Hg7Pb3 structure.

Cell and atoms, written as POSCAR:
```
Cd2Hg7Pb3
1.0
3.2894 0.0000 0.0000
0.0000 5.9688 0.2645
0.0000 1.2981 16.5838
Pb Hg Cd
3 7 2
Cartesian
1.6447 2.9844 0.1323 Pb
0.0000 0.7120 5.5891 Pb
0.0000 6.5549 11.2592 Pb
1.6447 6.6058 14.1464 Hg
0.0000 0.0000 0.0000 Hg
1.6447 2.1411 8.3517 Hg
1.6447 0.6611 2.7019 Hg
0.0000 3.6275 13.7994 Hg
1.6447 5.1258 8.4966 Hg
0.0000 3.6394 3.0489 Hg
1.6447 3.5434 11.1371 Cd
1.6447 3.7235 5.7112 Cd
```

Output
Fermi-level density of states	0.373	states/eV per atom
crystal system	monoclinic



Winner for stability: entry 2



Entry 1
Density functional theory data (PBE) for a geometry-optimized Cd3Hg2Pb structure.

Cell and atoms, written as POSCAR:
```
Cd3Hg2Pb
1.0
-1.8338 3.5405 1.6901
0.9126 -1.4295 3.9847
15.5181 7.0085 -3.3929
Cd Hg Pb
6 4 2
Cartesian
1.7400 -0.0273 1.9450 Cd
12.8570 9.1468 0.3369 Cd
14.2301 6.6618 1.4842 Cd
5.1967 4.0852 2.6287 Cd
0.3668 2.4577 0.7977 Cd
9.4003 5.0343 -0.3468 Cd
2.6597 2.7266 2.7223 Hg
7.9851 3.3173 1.7146 Hg
6.6119 5.8023 0.5673 Hg
11.9372 6.3930 -0.4404 Hg
4.2239 2.2621 -0.1558 Pb
10.3730 6.8574 2.4378 Pb
```

Output
Fermi-level density of states	0.273	states/eV per atom
crystal system	tetragonal



Entry 2
Density functional theory data (PBE) for a geometry-optimized Cd3Hg2Pb structure.

Cell and atoms, written as POSCAR:
```
Cd3Hg2Pb
1.0
-3.3104 3.0017 1.5237
-7.0192 -5.0189 1.9518
-1.1480 -1.9001 8.5637
Cd Hg Pb
6 4 2
Cartesian
-5.3874 -3.1314 9.0934 Cd
-6.0902 -0.7859 2.9458 Cd
-7.8894 -4.4602 6.2752 Cd
-8.3182 -0.9487 5.7409 Cd
-3.1595 -2.9685 6.2983 Cd
-3.5882 0.5429 5.7641 Cd
-3.1727 -1.5991 3.5717 Hg
-7.7405 -3.0216 3.7648 Hg
-8.3049 -2.3182 8.4676 Hg
-3.7371 -0.8957 8.2745 Hg
-7.5353 -5.6280 9.3451 Pb
-3.9423 1.7107 2.6942 Pb
```

Output
Fermi-level density of states	0.389	states/eV per atom
crystal system	orthorhombic



Winner for stability: entry 2



Entry 1
Density functional theory data (PBE) for a geometry-optimized Cd5Hg2Pb structure.

Cell and atoms, written as POSCAR:
```
Cd5Hg2Pb
1.0
-0.3664 -1.6312 -3.1663
7.0129 0.5829 -3.1362
3.1413 -6.9344 1.1844
Cd Hg Pb
5 2 1
Cartesian
2.6601 -5.0651 -1.7475 Cd
5.3907 -6.2902 -1.4323 Cd
7.1277 -2.9176 -3.3707 Cd
4.3971 -1.6924 -3.6859 Cd
5.0771 -3.1757 -0.9759 Cd
7.4025 -6.0147 -3.8315 Hg
2.3853 -1.9680 -1.2867 Hg
0.0000 0.0000 0.0000 Pb
```

Output
Fermi-level density of states	0.339	states/eV per atom
crystal system	orthorhombic



Entry 2
Density functional theory data (PBE) for a geometry-optimized Cd5Hg2Pb structure.

Cell and atoms, written as POSCAR:
```
Cd5Hg2Pb
1.0
-4.8644 0.1387 3.3577
1.2061 -5.9034 -1.3854
3.0464 2.9273 12.0538
Cd Pb Hg
10 2 4
Cartesian
1.3176 -2.2682 2.4213 Cd
2.2356 2.1889 9.1245 Cd
0.5392 -2.5469 8.1208 Cd
-1.1511 -0.2904 5.9053 Cd
-1.0802 -4.1067 2.2131 Cd
2.1263 -1.4880 5.3342 Cd
0.4683 1.2694 11.8130 Cd
-2.8475 -5.0262 4.9016 Cd
-1.9295 -0.5691 11.6048 Cd
0.0000 0.0000 0.0000 Cd
0.6031 -2.9517 -0.6927 Pb
1.5232 1.4637 6.0269 Pb
0.9947 -1.7833 11.3097 Hg
-0.4395 -3.1606 5.1729 Hg
-0.1724 0.3234 8.8532 Hg
-1.6066 -1.0540 2.7164 Hg
```

Output
Fermi-level density of states	0.285	states/eV per atom
crystal system	triclinic



Winner for stability: entry 2



Entry 1
Density functional theory data (PBE) for a geometry-optimized Cd5Hg6Pb structure.

Cell and atoms, written as POSCAR:
```
Cd5Hg6Pb
1.0
-4.4014 -4.7237 -6.9378
-4.4496 -2.9526 3.0545
-5.4692 2.6417 0.7817
Cd Hg Pb
5 6 1
Cartesian
-6.6738 -0.9844 -2.4583 Cd
-3.3467 -0.0523 1.2695 Cd
-4.4255 -3.8382 -1.9416 Cd
-6.5721 -0.2586 2.5668 Cd
-7.6464 -4.0502 -0.6433 Cd
-6.5397 -5.6942 -2.9933 Hg
-5.5629 -1.9603 0.1921 Hg
-5.5635 -2.8280 -4.5982 Hg
-2.3113 -1.9821 -0.8900 Hg
-8.7567 -2.2066 1.4966 Hg
-8.7574 -3.0744 -3.2936 Hg
0.0000 0.0000 0.0000 Pb
```

Output
Fermi-level density of states	0.276	states/eV per atom
crystal system	monoclinic



Entry 2
Density functional theory data (PBE) for a geometry-optimized Cd5Hg6Pb structure.

Cell and atoms, written as POSCAR:
```
Cd5Hg6Pb
1.0
5.6818 0.0388 -1.5636
-3.7094 7.0134 -4.3989
0.0146 -1.7040 8.9093
Cd Pb Hg
5 1 6
Cartesian
0.9935 2.6741 1.4734 Cd
3.2257 4.1183 -1.4837 Cd
-0.2715 5.6352 -3.0472 Cd
-1.2387 1.2298 4.4304 Cd
2.2585 -0.2870 5.9939 Cd
0.0000 0.0000 0.0000 Pb
2.1224 2.4744 4.5102 Hg
3.2689 1.3855 -0.0068 Hg
1.1580 -0.1539 3.0586 Hg
-0.1354 2.8738 -1.5634 Hg
-1.2819 3.9627 2.9536 Hg
0.8290 5.5021 -0.1119 Hg
```

Output
Fermi-level density of states	0.183	states/eV per atom
crystal system	monoclinic



Winner for stability: entry 1